# 1
Density functional theory data (GGA-PBEsol) for Mn2HgTe after structural relaxation.

energy relative to the elements, uncorrected: 0.4440 eV per atom
energy above the lowest structure with this stoichiometry: 38 kJ/mol of formula units
DOS(E_F): 0.808 states/eV/atom
volume: 18.40 Å³ per atom

Lattice parameters (Å, degrees): 4.387 4.925 4.387 63.55 90.00 116.45
Last column: magnetic moment on the atom in μB.
Fractional positions:
1 Hg 0.000 0.000 0.000  -0.03
2 Mn 0.250 0.500 0.250  3.59
3 Mn 0.750 0.500 0.750  3.59
4 Te 0.500 0.000 0.500  0.00

# 2
Density functional theory data (GGA-PBEsol) for Mn2HgTe after structural relaxation.

energy relative to the elements, uncorrected: 0.3465 eV per atom
energy above the lowest structure with this stoichiometry: 0 kJ/mol of formula units
DOS(E_F): 0.672 states/eV/atom
volume: 18.82 Å³ per atom

Lattice parameters (Å, degrees): 3.710 4.022 5.372 90.00 110.11 90.00
Last column: magnetic moment on the atom in μB.
Fractional positions:
1 Hg 0.239 0.500 0.854  0.01
2 Mn 0.784 0.000 0.944  3.45
3 Mn 0.966 0.500 0.308  3.44
4 Te 0.510 0.000 0.395  -0.04

# 3
Density functional theory data (GGA-PBEsol) for MnTl3Hg after structural relaxation.

formation energy from the elements: 20.759 kcal/mol of atoms
DOS(E_F): 0.774 states/eV/atom
volume: 34.01 Å³ per atom

Lattice parameters (Å, degrees): 5.540 5.540 5.540 90.00 90.00 90.00
Last column: magnetic moment on the atom in μB.
Fractional positions:
1 Tl 0.000 0.500 0.000  -0.01
2 Tl 0.000 0.000 0.500  -0.01
3 Tl 0.500 0.000 0.000  -0.01
4 Mn 0.500 0.500 0.500  4.46
5 Hg 0.000 0.000 0.000  0.01

# 4
Density functional theory data (GGA-PBEsol) for Mn2TlHg after structural relaxation.

energy above the lowest structure with this stoichiometry: 0 kJ/mol of formula units
formation energy from the elements: 11.594 kcal/mol of atoms
DOS(E_F): 0.668 states/eV/atom
volume: 17.87 Å³ per atom

Lattice parameters (Å, degrees): 3.113 4.632 5.782 116.03 105.62 90.00
Last column: magnetic moment on the atom in μB.
Fractional positions:
1 Hg 0.265 0.745 0.530  -0.03
2 Mn 0.009 0.029 0.018  3.40
3 Mn 0.731 0.212 0.461  3.56
4 Tl 0.495 0.514 0.991  -0.07